1.
Here is crystalline Na2Al2Pb at its relaxed geometry from the Alexandria database. Energies are from PBE-GGA.

abc: 8.5940 8.5940 3.3926
angles: 90.00 90.00 90.00
Positions (direct):
Na 0.1864 0.6864 0.5000
Pb 0.5000 0.5000 0.0000
Al 0.3917 0.8917 0.0000
Na 0.6864 0.8136 0.5000
Pb 0.0000 0.0000 0.0000
Al 0.6083 0.1083 0.0000
Al 0.1083 0.3917 0.0000
Na 0.8136 0.3136 0.5000
Na 0.3136 0.1864 0.5000
Al 0.8917 0.6083 0.0000

Summary:
Total moment = 0.00 μB/f.u.
E above lowest polymorph = 43 meV/atom
Crystal system = tetragonal
ΔE_f = 189 meV per atom

2.
Here is crystalline Y4TmS4 at its relaxed geometry from the Alexandria database. Energies are from PBE-GGA.

abc: 5.5125 6.6966 6.7001
angles: 80.25 65.71 65.70
Positions (direct):
Y 0.6012 0.5983 0.1992
S 0.0976 0.6043 0.2005
S 0.9024 0.3957 0.7995
Y 0.1993 0.1994 0.4020
S 0.2981 0.7993 0.6044
S 0.7019 0.2007 0.3956
Y 0.3988 0.4017 0.8008
Y 0.8007 0.8006 0.5980
Tm 0.0000 0.0000 0.0000

Summary:
Total moment = 0.00 μB/f.u.
Formation energy without anion corrections = -15.80 eV/f.u.
Crystal system = tetragonal

3.
Here is crystalline CaSmEr at its relaxed geometry from the Alexandria database. Energies are from PBE-GGA.

abc: 11.8362 11.8362 3.5343
angles: 81.41 81.41 147.78
Positions (direct):
Sm 0.1068 0.8932 0.5000
Er 0.4344 0.5656 0.5000
Sm 0.8932 0.1068 0.5000
Er 0.5656 0.4344 0.5000
Ca 0.2905 0.7095 0.5000
Ca 0.7095 0.2905 0.5000

Summary:
Total moment = 0.00 μB/f.u.
E above lowest polymorph = 327 meV/atom
Crystal system = orthorhombic
ΔE_f = 387 meV per atom

4.
Here is crystalline Ac4GeAs3 at its relaxed geometry from the Alexandria database. Energies are from PBE-GGA.

abc: 6.4521 6.4521 6.4521
angles: 90.00 90.00 90.00
Positions (direct):
As 0.0000 0.5000 0.5000
Ac 0.0000 0.5000 0.0000
Ac 0.5000 0.0000 0.0000
As 0.5000 0.0000 0.5000
Ge 0.0000 0.0000 0.0000
As 0.5000 0.5000 0.0000
Ac 0.0000 0.0000 0.5000
Ac 0.5000 0.5000 0.5000

Summary:
Total moment = 0.00 μB/f.u.
Crystal system = cubic
ΔE_f = -1237 meV per atom

5.
Here is crystalline SrTb2PuO8 at its relaxed geometry from the Alexandria database. Energies are from PBE-GGA.

abc: 4.1290 5.3443 7.5933
angles: 90.01 89.99 96.10
Last column: magnetic moment on the atom in μB.
Positions (direct):
O 0.4332 0.2245 0.0000  -0.06
Tb 0.5001 0.5002 0.2456  -0.01
Sr 0.0000 0.0000 0.5000  0.00
O 0.5668 0.7755 0.0000  -0.06
O 0.4891 0.7219 0.5001  0.30
O 0.5109 0.2781 0.4999  0.30
Tb 0.4999 0.4998 0.7544  -0.01
O 0.0467 0.7584 0.2052  -0.06
O 0.9531 0.2411 0.2051  -0.06
O 0.9533 0.2416 0.7948  -0.06
Pu 0.0000 0.0000 0.0000  1.15
O 0.0469 0.7589 0.7949  -0.06

Summary:
Total moment = 1.47 μB/f.u.
Formation energy without anion corrections = -33.20 eV/f.u.
Crystal system = monoclinic

6.
Here is crystalline ScIn2Au at its relaxed geometry from the Alexandria database. Energies are from PBE-GGA.

abc: 4.5999 4.5999 8.7420
angles: 105.25 105.25 90.00
Positions (direct):
In 0.5000 0.0000 0.0000
Au 0.7500 0.2500 0.5000
In 0.3580 0.3580 0.7159
In 0.6420 0.6420 0.2841
In 0.0000 0.5000 0.0000
Au 0.2500 0.7500 0.5000
Sc 0.8674 0.8674 0.7347
Sc 0.1326 0.1326 0.2653

Summary:
Total moment = 0.00 μB/f.u.
Crystal system = tetragonal
ΔE_f = -454 meV per atom

7.
Here is crystalline BeAgP2S at its relaxed geometry from the Alexandria database. Energies are from PBE-GGA.

abc: 4.2485 4.2485 4.5980
angles: 90.00 90.00 90.00
Positions (direct):
S 0.0000 0.0000 0.5000
Ag 0.5000 0.5000 0.5000
P 0.5000 0.0000 0.0000
P 0.0000 0.5000 0.0000
Be 0.0000 0.0000 0.0000

Summary:
Total moment = 0.00 μB/f.u.
Formation energy without anion corrections = 3.19 eV/f.u.
E above lowest polymorph = 0 meV/atom
Crystal system = tetragonal

8.
Here is crystalline TcHClF2 at its relaxed geometry from the Alexandria database. Energies are from PBE-GGA.

abc: 4.1226 4.8798 4.1226
angles: 90.00 90.00 90.00
Last column: magnetic moment on the atom in μB.
Positions (direct):
F 0.0000 0.0000 0.5000  0.06
H 0.5000 0.5000 0.5000  0.38
F 0.5000 0.0000 0.0000  0.13
Cl 0.0000 0.5000 0.0000  0.15
Tc 0.0000 0.0000 0.0000  2.68

Summary:
Total moment = 4.22 μB/f.u.
Crystal system = tetragonal
DFT total energy = -4.452 eV per atom

Question: Which formula does entry 7 have?
Answer: BeAgP2S

Question: Look up the total moment of the eighth one.
Answer: 4.22 μB/f.u.

Question: Which value of total moment does entry 7 give?
Answer: 0.00 μB/f.u.

Copy entry 4 word for word.
Here is crystalline Ac4GeAs3 at its relaxed geometry from the Alexandria database. Energies are from PBE-GGA.

abc: 6.4521 6.4521 6.4521
angles: 90.00 90.00 90.00
Positions (direct):
As 0.0000 0.5000 0.5000
Ac 0.0000 0.5000 0.0000
Ac 0.5000 0.0000 0.0000
As 0.5000 0.0000 0.5000
Ge 0.0000 0.0000 0.0000
As 0.5000 0.5000 0.0000
Ac 0.0000 0.0000 0.5000
Ac 0.5000 0.5000 0.5000

Summary:
Total moment = 0.00 μB/f.u.
Crystal system = cubic
ΔE_f = -1237 meV per atom